Entry 1:
Here is an optimized crystal structure of LiMgCo2 from Alexandria. Energies are from PBE.

Structure (extended XYZ):
```
4
Lattice="4.1621 -0.0139 0.0000 0.0109 4.1621 0.0000 -2.0865 -2.0741 2.9441" Properties=species:S:1:pos:R:3 pbc="T T T"
Co 0.0055 2.0811 1.4721
Co 0.0000 0.0000 0.0000
Mg 2.0811 -0.0069 1.4721
Li 2.0865 2.0741 0.0000
```

As for the space group: F-43m, No. 216. The calculated volume is 51.00 Å³/f.u. As for the total magnetization: 2.72 μB per cell. The energy of formation from the pure elements is 0.13 eV per atom. The calculation puts the density of states at the Fermi level at 2.17 states/eV per cell.

=====

Entry 2:
Here is an optimized crystal structure of Y2MgSi from Alexandria. Energies are from PBE.

Structure (extended XYZ):
```
4
Lattice="-3.3198 0.4395 0.5787 -0.6033 -3.1756 -1.0491 1.0225 -2.8459 8.0267" Properties=species:S:1:pos:R:3 pbc="T T T"
Y 0.9712 -2.7031 7.6239
Y -1.6805 -2.1503 1.9710
Mg 0.5611 -1.5617 4.4047
Si -1.2186 -3.4358 5.5968
```

As for the space group: P4mm, No. 99. For the uncorrected formation energy, the calculation gives -135 meV/atom. The calculated volume is 99.06 Å³/f.u. As for the total magnetization: 0.00 μB per cell. The calculation puts the density of states at the Fermi level at 3.92 states/eV per cell.

=====

Entry 3:
Here is an optimized crystal structure of Ho7ErTm3 from Alexandria. Energies are from PBE.

Structure (extended XYZ):
```
11
Lattice="-1.7606 -8.0304 -3.1069 9.7262 0.4365 0.9293 -0.5684 1.8565 5.0944" Properties=species:S:1:pos:R:3 pbc="T T T"
Ho -1.1645 -3.0869 0.9938
Ho 1.4538 -0.4358 0.3216
Ho 5.9434 -5.3015 2.5953
Ho 4.6080 -5.7185 -0.3189
Ho 5.7852 -0.9463 3.9088
Ho 1.6120 -4.7911 -0.9919
Ho 2.7892 -0.0188 3.2358
Tm 8.1886 -5.3009 -0.0703
Tm 4.8631 0.2183 0.4647
Tm -0.7914 -0.4365 2.9872
Er 3.6986 -2.8687 1.4584
```

As for the space group: P2/m, No. 10. The calculated volume is 344.39 Å³/f.u. As for the total magnetization: 0.00 μB per cell. The energy of formation from the pure elements is 0.15 eV per atom. The calculation puts the density of states at the Fermi level at 17.82 states/eV per cell.